No. 1
Computed, not measured: CeUMo after structural relaxation at the PBE level of DFT.

Unit cell a=3.445 b=3.445 c=10.393 alpha=90.00 beta=90.00 gamma=90.00
Space group I4mm (No. 107)
Asymmetric unit:
Ce 0.000 0.000 0.000 x2
U 0.000 0.000 0.661 x2
Mo 0.000 0.000 0.305 x2

Summary:
Total magnetic moment   0.5 μB per formula unit
Mass density   12.77 g cm⁻³
Calculated volume   20.6 Å³/atom
Formation energy from the elements   0.15 eV/atom
Energy relative to the lowest polymorph listed for this composition   0 meV/atom
Calculated total energy   -9.196 eV/atom



No. 2
Computed, not measured: CeUMo after structural relaxation at the PBE level of DFT.

Unit cell a=3.235 b=5.257 c=7.463 alpha=74.56 beta=88.83 gamma=86.35
Space group P-1 (No. 2)
Asymmetric unit:
Ce 0.153 0.122 0.319 x2
U 0.358 0.397 0.669 x2
Mo 0.276 0.741 0.021 x2

Summary:
Total magnetic moment   0.0 μB per formula unit
Mass density   12.90 g cm⁻³
Calculated volume   20.3 Å³/atom
Formation energy from the elements   0.18 eV/atom
Energy relative to the lowest polymorph listed for this composition   21 meV/atom
Calculated total energy   -9.175 eV/atom



No. 3
Computed, not measured: CeV4Mo after structural relaxation at the PBE level of DFT.

Unit cell a=7.265 b=7.265 c=7.265 alpha=90.00 beta=90.00 gamma=90.00
Space group F-43m (No. 216)
Asymmetric unit:
Ce 0.000 0.000 0.000 x4
V 0.125 0.125 0.625 x16
Mo 0.250 0.250 0.250 x4

Summary:
Total magnetic moment   0.0 μB per formula unit
Mass density   7.62 g cm⁻³
Calculated volume   16.0 Å³/atom
Formation energy from the elements   0.25 eV/atom
Calculated total energy   -8.625 eV/atom



No. 4
Computed, not measured: CeV2Mo after structural relaxation at the PBE level of DFT.

Unit cell a=3.082 b=3.082 c=7.426 alpha=90.00 beta=90.00 gamma=90.00
Space group P4/mmm (No. 123)
Asymmetric unit:
Ce 0.000 0.000 0.000 x1
V 0.500 0.500 0.307 x2
Mo 0.000 0.000 0.500 x1

Summary:
Total magnetic moment   0.0 μB per formula unit
Mass density   7.96 g cm⁻³
Calculated volume   17.6 Å³/atom
Formation energy from the elements   0.18 eV/atom
Energy relative to the lowest polymorph listed for this composition   0 meV/atom
Calculated total energy   -8.574 eV/atom



No. 5
Computed, not measured: CeV2Mo after structural relaxation at the PBE level of DFT.

Unit cell a=4.2678 b=4.2678 c=15.1525 alpha=90.00 beta=90.00 gamma=120.00
Space group R-3m (No. 166, hexagonal axes)
Asymmetric unit:
Ce 0.0000 0.0000 0.0000 x3
V 0.0000 0.0000 0.2027 x6
Mo 0.0000 0.0000 0.5000 x3

Summary:
Total magnetic moment   0.3 μB per formula unit
Mass density   7.04 g cm⁻³
Calculated volume   19.9 Å³/atom
Formation energy from the elements   0.40 eV/atom
Energy relative to the lowest polymorph listed for this composition   220 meV/atom
Calculated total energy   -8.354 eV/atom



No. 6
Computed, not measured: CeYMo4 after structural relaxation at the PBE level of DFT.

Unit cell a=7.824 b=7.824 c=7.824 alpha=90.00 beta=90.00 gamma=90.00
Space group F-43m (No. 216)
Asymmetric unit:
Ce 0.000 0.000 0.000 x4
Y 0.250 0.250 0.250 x4
Mo 0.125 0.125 0.625 x16

Summary:
Total magnetic moment   0.0 μB per formula unit
Mass density   8.50 g cm⁻³
Calculated volume   20.0 Å³/atom
Formation energy from the elements   0.15 eV/atom
Calculated total energy   -9.140 eV/atom



No. 7
Computed, not measured: CeZnMo after structural relaxation at the PBE level of DFT.

Unit cell a=4.5474 b=4.5474 c=22.6550 alpha=90.00 beta=90.00 gamma=120.00
Space group R-3m (No. 166, hexagonal axes)
Asymmetric unit:
Ce 0.0000 0.0000 0.0805 x6
Zn 0.0000 0.0000 0.3249 x6
Mo 0.0000 0.0000 0.1835 x6

Summary:
Total magnetic moment   0.0 μB per formula unit
Mass density   7.40 g cm⁻³
Calculated volume   22.5 Å³/atom
Formation energy from the elements   0.24 eV/atom
Calculated total energy   -5.777 eV/atom



No. 8
Computed, not measured: CeZn4Mo after structural relaxation at the PBE level of DFT.

Unit cell a=7.400 b=7.400 c=7.400 alpha=90.00 beta=90.00 gamma=90.00
Space group F-43m (No. 216)
Asymmetric unit:
Ce 0.000 0.000 0.000 x4
Zn 0.124 0.124 0.624 x16
Mo 0.250 0.250 0.250 x4

Summary:
Total magnetic moment   1.2 μB per formula unit
Mass density   8.16 g cm⁻³
Calculated volume   16.9 Å³/atom
Formation energy from the elements   -0.05 eV/atom
Calculated total energy   -3.693 eV/atom



Please write out number 3 again, unchanged.
Computed, not measured: CeV4Mo after structural relaxation at the PBE level of DFT.

Unit cell a=7.265 b=7.265 c=7.265 alpha=90.00 beta=90.00 gamma=90.00
Space group F-43m (No. 216)
Asymmetric unit:
Ce 0.000 0.000 0.000 x4
V 0.125 0.125 0.625 x16
Mo 0.250 0.250 0.250 x4

Summary:
Total magnetic moment   0.0 μB per formula unit
Mass density   7.62 g cm⁻³
Calculated volume   16.0 Å³/atom
Formation energy from the elements   0.25 eV/atom
Calculated total energy   -8.625 eV/atom